# 1
# Ni2SeS

A relaxed Ni2SeS crystal (PBEsol, the Alexandria database).

The structure belongs to space group I-42d (No. 122); the cell edges are 5.075, 5.075 and 10.288 Å and the angles 90.00°, 90.00° and 90.00°. The asymmetric unit holds Ni at (0.223, 0.250, 0.125), Se at (0.000, 0.000, 0.500) and S at (0.000, 0.000, 0.000).

Its energy relative to the elements, uncorrected is -301 meV/atom.

=====

# 2
# LiTcP

A relaxed LiTcP crystal (PBEsol, the Alexandria database).

The structure belongs to space group I4mm (No. 107); the cell edges are 3.055, 3.055 and 7.717 Å and the angles 90.00°, 90.00° and 90.00°. The asymmetric unit holds Li at (0.000, 0.000, 0.000), Tc at (0.000, 0.000, 0.681) and P at (0.000, 0.000, 0.327).

The value obtained for the energy above the most stable polymorph in this dataset is 0.0000 eV per atom. The formation energy comes out at -331.1 meV/atom.

=====

Short version: magnetic moment = 0.00; 0.45 μB per formula unit, in the order given.
Short version: raw total energy = -5.44; -6.67 eV/atom, in the order given.